Li4Fe2P4H3O16 | PBE with a Hubbard U | optimized geometry

Results
- E_tot (eV per formula unit) = -188.265
- space group = P1, No. 1
- volume (Å³/atom) = 10.509
- total moment (μB/f.u.) = 9.000

Lattice parameters (Å, degrees): 4.936 7.623 8.385 90.95 91.29 104.86
Element x y z (fractional)
O1 0.357 0.173 0.683
O2 0.974 0.678 0.184
O3 0.721 0.550 0.435
O4 0.843 0.654 0.835
O5 0.888 0.164 0.548
O6 0.500 0.809 0.697
P1 0.619 0.762 0.856
O7 0.154 0.352 0.162
Li1 0.099 0.680 0.649
O8 0.758 0.951 0.946
O9 0.250 0.050 0.076
O10 0.381 0.664 0.965
O11 0.003 0.315 0.822
O12 0.610 0.342 0.030
P2 0.121 0.266 0.664
H1 0.959 0.983 0.998
P3 0.379 0.243 0.144
H2 0.618 0.433 0.371
Fe1 0.994 0.500 0.000
H3 0.433 0.502 0.551
Li2 0.941 0.307 0.355
O13 0.230 0.458 0.574
Li3 0.607 0.157 0.861
Li4 0.375 0.839 0.144
O14 0.100 0.830 0.458
Fe2 0.493 0.002 0.503
P4 0.862 0.736 0.341
O15 0.515 0.237 0.313
O16 0.645 0.845 0.316